Entry 1:
! Cs2TiB2O6, optimized geometry, DFT PBE; values from VASP
! space group	R-3m, No. 166
! energy relative to the elements, uncorrected	-2.431	eV per atom
! uncorrected energy	-7.222	eV per atom
&SYSTEM
  ibrav = 0, nat = 11, ntyp = 4
/
ATOMIC_SPECIES
B 10.81 B.upf
Cs 132.91 Cs.upf
O 16.00 O.upf
Ti 47.87 Ti.upf
ATOMIC_POSITIONS crystal
B 0.121 0.241 0.362
B 0.879 0.759 0.638
Cs 0.725 0.451 0.176
Cs 0.275 0.549 0.824
O 0.728 0.917 0.645
O 0.272 0.544 0.355
O 0.811 0.083 0.355
O 0.272 0.083 0.355
O 0.189 0.917 0.645
O 0.728 0.456 0.645
Ti 0.500 0.000 0.500
CELL_PARAMETERS angstrom
5.214 0.000 0.000
-2.607 4.511 -0.198
0.000 -2.662 8.028

***

Entry 2:
! Cs2TmB2O6, optimized geometry, DFT PBE; values from VASP
! space group	R-3m, No. 166
! energy relative to the elements, uncorrected	-2.449	eV per atom
! uncorrected energy	-6.929	eV per atom
&SYSTEM
  ibrav = 0, nat = 11, ntyp = 4
/
ATOMIC_SPECIES
Cs 132.91 Cs.upf
O 16.00 O.upf
B 10.81 B.upf
Tm 168.93 Tm.upf
ATOMIC_POSITIONS crystal
Cs 0.714 0.429 0.144
Cs 0.286 0.571 0.856
O 0.180 0.930 0.680
O 0.820 0.070 0.320
O 0.750 0.501 0.680
O 0.250 0.070 0.320
O 0.250 0.499 0.320
O 0.750 0.930 0.680
B 0.107 0.215 0.323
B 0.893 0.785 0.677
Tm 0.500 0.000 0.500
CELL_PARAMETERS angstrom
-0.714 -5.202 1.892
4.181 1.140 -3.518
1.696 2.394 7.221

***

Entry 3:
! Cs2TmBO4, optimized geometry, DFT PBE; values from VASP
! space group	Fddd, No. 70
! energy relative to the elements, uncorrected	-2.162	eV per atom
! uncorrected energy	-6.248	eV per atom
&SYSTEM
  ibrav = 0, nat = 16, ntyp = 4
/
ATOMIC_SPECIES
O 16.00 O.upf
B 10.81 B.upf
Tm 168.93 Tm.upf
Cs 132.91 Cs.upf
ATOMIC_POSITIONS crystal
O 0.785 0.850 0.926
O 0.385 0.650 0.426
O 0.189 0.350 0.426
O 0.365 0.850 0.074
O 0.561 0.150 0.074
O 0.289 0.150 0.926
O 0.965 0.650 0.574
O 0.461 0.350 0.574
B 0.250 0.500 0.500
B 0.500 0.000 0.000
Tm 0.000 0.000 0.000
Tm 0.750 0.500 0.500
Cs 0.177 0.000 0.647
Cs 0.823 0.000 0.353
Cs 0.927 0.500 0.147
Cs 0.573 0.500 0.853
CELL_PARAMETERS angstrom
5.051 0.000 0.000
2.525 6.048 0.000
2.525 0.000 11.940